No. 1
NaCaAl2Rh | PBE | optimized geometry

CIF file:
```
data_NaCaAl2Rh
_symmetry_space_group_name_H-M 'P 4/m m m'
_symmetry_Int_Tables_number 123
_symmetry_space_group_name_Hall '-P 4 2'
_cell_length_a 4.831
_cell_length_b 4.831
_cell_length_c 5.382
_cell_angle_alpha 90.00
_cell_angle_beta 90.00
_cell_angle_gamma 90.00
loop_
_atom_site_label
_atom_site_fract_x
_atom_site_fract_y
_atom_site_fract_z
Na1 0.000 0.000 0.000
Ca1 0.500 0.500 0.000
Al1 0.000 0.500 0.500
Rh1 0.500 0.500 0.500
```

**DFT formation energy**: -0.27 eV/atom
**Fermi-level density of states**: 2.03 states/eV per cell


No. 2
NaCa2AlRh | PBE | optimized geometry

CIF file:
```
data_NaCa2AlRh
_symmetry_space_group_name_H-M 'P 4/m m m'
_symmetry_Int_Tables_number 123
_symmetry_space_group_name_Hall '-P 4 2'
_cell_length_a 5.534
_cell_length_b 5.534
_cell_length_c 4.834
_cell_angle_alpha 90.00
_cell_angle_beta 90.00
_cell_angle_gamma 90.00
loop_
_atom_site_label
_atom_site_fract_x
_atom_site_fract_y
_atom_site_fract_z
Na1 0.000 0.000 0.000
Ca1 0.000 0.500 0.500
Al1 0.500 0.500 0.000
Rh1 0.500 0.500 0.500
```

**DFT formation energy**: -0.27 eV/atom
**Fermi-level density of states**: 1.94 states/eV per cell


No. 3
NaCa2AlS4 | PBE | optimized geometry

CIF file:
```
data_NaCa2AlS4
_symmetry_space_group_name_H-M 'I m m a'
_symmetry_Int_Tables_number 74
_symmetry_space_group_name_Hall '-I 2b 2'
_cell_length_a 7.783
_cell_length_b 7.835
_cell_length_c 10.827
_cell_angle_alpha 90.00
_cell_angle_beta 90.00
_cell_angle_gamma 90.00
loop_
_atom_site_label
_atom_site_fract_x
_atom_site_fract_y
_atom_site_fract_z
Na1 0.000 0.000 0.000
Ca1 0.000 0.000 0.500
Ca2 0.250 0.250 0.250
Al1 0.250 0.250 0.750
S1 0.000 0.020 0.752
S2 0.249 0.250 0.528
```

**Fermi-level density of states**: 0.00 states/eV per cell
**E_form (uncorrected)**: -1.51 eV/atom


No. 4
Na2CaAlSb2 | PBE | optimized geometry

CIF file:
```
data_Na2CaAlSb2
_symmetry_space_group_name_H-M 'P m c 21'
_symmetry_Int_Tables_number 26
_cell_length_a 5.074
_cell_length_b 8.843
_cell_length_c 7.418
_cell_angle_alpha 90.00
_cell_angle_beta 90.00
_cell_angle_gamma 90.00
loop_
_symmetry_equiv_pos_as_xyz
'x,y,z'
'-x,-y,z+1/2'
'-x,y,z'
'x,-y,z+1/2'
loop_
_atom_site_label
_atom_site_fract_x
_atom_site_fract_y
_atom_site_fract_z
Na1 0.000 0.074 0.000
Na2 0.500 0.150 0.313
Ca1 0.500 0.470 0.002
Al1 0.000 0.319 0.656
Sb1 0.000 0.368 0.274
Sb2 0.500 0.195 0.732
```

**Fermi-level density of states**: 4.36 states/eV per cell
**E_form (uncorrected)**: -0.49 eV/atom


No. 5
NaCaScAl2 | PBE | optimized geometry

CIF file:
```
data_NaCaScAl2
_symmetry_space_group_name_H-M 'P 4/m m m'
_symmetry_Int_Tables_number 123
_symmetry_space_group_name_Hall '-P 4 2'
_cell_length_a 5.385
_cell_length_b 5.385
_cell_length_c 5.108
_cell_angle_alpha 90.00
_cell_angle_beta 90.00
_cell_angle_gamma 90.00
loop_
_atom_site_label
_atom_site_fract_x
_atom_site_fract_y
_atom_site_fract_z
Na1 0.000 0.000 0.000
Ca1 0.000 0.000 0.500
Sc1 0.500 0.500 0.000
Al1 0.000 0.500 0.500
```

**DFT formation energy**: 0.94 eV/atom
**Fermi-level density of states**: 2.60 states/eV per cell


No. 6
Na2CaAlSi | PBE | optimized geometry

CIF file:
```
data_Na2CaAlSi
_symmetry_space_group_name_H-M 'P 4/m m m'
_symmetry_Int_Tables_number 123
_symmetry_space_group_name_Hall '-P 4 2'
_cell_length_a 5.409
_cell_length_b 5.409
_cell_length_c 5.881
_cell_angle_alpha 90.00
_cell_angle_beta 90.00
_cell_angle_gamma 90.00
loop_
_atom_site_label
_atom_site_fract_x
_atom_site_fract_y
_atom_site_fract_z
Na1 0.000 0.500 0.000
Ca1 0.000 0.000 0.500
Al1 0.000 0.000 0.000
Si1 0.500 0.500 0.500
```

**Fermi-level density of states**: 4.72 states/eV per cell
**E_form (uncorrected)**: 0.72 eV/atom


No. 7
NaCaAl2Si2 | PBE | optimized geometry

CIF file:
```
data_NaCaAl2Si2
_symmetry_space_group_name_H-M 'P -3 m 1'
_symmetry_Int_Tables_number 164
_symmetry_space_group_name_Hall '-P 3 2"'
_cell_length_a 4.5330
_cell_length_b 4.5330
_cell_length_c 6.6805
_cell_angle_alpha 90.00
_cell_angle_beta 90.00
_cell_angle_gamma 120.00
loop_
_atom_site_label
_atom_site_fract_x
_atom_site_fract_y
_atom_site_fract_z
Na1 0.0000 0.0000 0.0000
Ca1 0.0000 0.0000 0.5000
Al1 0.3333 0.6667 0.1816
Si1 0.3333 0.6667 0.7765
```

**Fermi-level density of states**: 1.75 states/eV per cell
**E_form (uncorrected)**: -0.13 eV/atom


No. 8
NaCaSmAl | PBE | optimized geometry

CIF file:
```
data_NaCaSmAl
_symmetry_space_group_name_H-M 'F -4 3 m'
_symmetry_Int_Tables_number 216
_symmetry_space_group_name_Hall 'F -4 2 3'
_cell_length_a 7.695
_cell_length_b 7.695
_cell_length_c 7.695
_cell_angle_alpha 90.00
_cell_angle_beta 90.00
_cell_angle_gamma 90.00
loop_
_atom_site_label
_atom_site_fract_x
_atom_site_fract_y
_atom_site_fract_z
Na1 0.000 0.000 0.000
Ca1 0.250 0.250 0.250
Sm1 0.250 0.250 0.750
Al1 0.000 0.000 0.500
```

**DFT formation energy**: -0.05 eV/atom
**Fermi-level density of states**: 13.68 states/eV per cell


No. 9
Na2CaAlSn2 | PBE | optimized geometry

CIF file:
```
data_Na2CaAlSn2
_symmetry_space_group_name_H-M 'P m c 21'
_symmetry_Int_Tables_number 26
_cell_length_a 4.646
_cell_length_b 9.127
_cell_length_c 7.797
_cell_angle_alpha 90.00
_cell_angle_beta 90.00
_cell_angle_gamma 90.00
loop_
_symmetry_equiv_pos_as_xyz
'x,y,z'
'-x,-y,z+1/2'
'-x,y,z'
'x,-y,z+1/2'
loop_
_atom_site_label
_atom_site_fract_x
_atom_site_fract_y
_atom_site_fract_z
Na1 0.000 0.079 0.000
Na2 0.500 0.159 0.311
Ca1 0.500 0.451 0.974
Al1 0.000 0.329 0.628
Sn1 0.000 0.380 0.260
Sn2 0.500 0.172 0.711
```

**DFT formation energy**: -0.30 eV/atom
**Fermi-level density of states**: 8.08 states/eV per cell


No. 10
NaCaAlSn | PBE | optimized geometry

CIF file:
```
data_NaCaAlSn
_symmetry_space_group_name_H-M 'F -4 3 m'
_symmetry_Int_Tables_number 216
_symmetry_space_group_name_Hall 'F -4 2 3'
_cell_length_a 7.470
_cell_length_b 7.470
_cell_length_c 7.470
_cell_angle_alpha 90.00
_cell_angle_beta 90.00
_cell_angle_gamma 90.00
loop_
_atom_site_label
_atom_site_fract_x
_atom_site_fract_y
_atom_site_fract_z
Na1 0.000 0.000 0.000
Ca1 0.000 0.000 0.500
Al1 0.250 0.250 0.250
Sn1 0.250 0.250 0.750
```

**DFT formation energy**: -0.16 eV/atom
**Fermi-level density of states**: 6.55 states/eV per cell


No. 11
NaCaTa2Al | PBE | optimized geometry

CIF file:
```
data_NaCaTa2Al
_symmetry_space_group_name_H-M 'P 4/m m m'
_symmetry_Int_Tables_number 123
_symmetry_space_group_name_Hall '-P 4 2'
_cell_length_a 4.899
_cell_length_b 4.899
_cell_length_c 5.660
_cell_angle_alpha 90.00
_cell_angle_beta 90.00
_cell_angle_gamma 90.00
loop_
_atom_site_label
_atom_site_fract_x
_atom_site_fract_y
_atom_site_fract_z
Na1 0.000 0.000 0.000
Ca1 0.500 0.500 0.000
Ta1 0.000 0.500 0.500
Al1 0.500 0.500 0.500
```

**DFT formation energy**: 1.24 eV/atom
**Fermi-level density of states**: 7.77 states/eV per cell


No. 12
NaCaTbAl | PBE | optimized geometry

CIF file:
```
data_NaCaTbAl
_symmetry_space_group_name_H-M 'F -4 3 m'
_symmetry_Int_Tables_number 216
_symmetry_space_group_name_Hall 'F -4 2 3'
_cell_length_a 7.638
_cell_length_b 7.638
_cell_length_c 7.638
_cell_angle_alpha 90.00
_cell_angle_beta 90.00
_cell_angle_gamma 90.00
loop_
_atom_site_label
_atom_site_fract_x
_atom_site_fract_y
_atom_site_fract_z
Na1 0.000 0.000 0.000
Ca1 0.250 0.250 0.250
Tb1 0.250 0.250 0.750
Al1 0.000 0.000 0.500
```

**DFT formation energy**: -0.03 eV/atom
**Fermi-level density of states**: 13.89 states/eV per cell